[1]
## LiLuSnPt (PBE)

Data for LiLuSnPt after structural relaxation.

Geometry as CIF:
```
data_LiLuSnPt
_symmetry_space_group_name_H-M 'P 1'
_symmetry_Int_Tables_number 1
_cell_length_a 4.6966
_cell_length_b 4.6966
_cell_length_c 4.6966
_cell_angle_alpha 60.00
_cell_angle_beta 60.00
_cell_angle_gamma 60.00
loop_
_symmetry_equiv_pos_as_xyz
'x,y,z'
loop_
_atom_site_label
_atom_site_type_symbol
_atom_site_fract_x
_atom_site_fract_y
_atom_site_fract_z
_atom_site_occupancy
Li1 Li 0.2500 0.2500 0.2500 1
Lu1 Lu 0.0000 0.0000 0.0000 1
Pt1 Pt 0.7500 0.7500 0.7500 1
Sn1 Sn 0.5000 0.5000 0.5000 1
```

Summary:
DFT total energy = -5.044 eV per atom
ΔE to the lowest computed polymorph = 0 meV per atom
symmetry = F-43m

***

[2]
## Sm4Al4O11 (PBE)

Data for Sm4Al4O11 after structural relaxation.

Geometry as CIF:
```
data_Sm4Al4O11
_symmetry_space_group_name_H-M 'P 1'
_symmetry_Int_Tables_number 1
_cell_length_a 5.2863
_cell_length_b 5.2658
_cell_length_c 7.4726
_cell_angle_alpha 90.14
_cell_angle_beta 89.98
_cell_angle_gamma 90.50
loop_
_symmetry_equiv_pos_as_xyz
'x,y,z'
loop_
_atom_site_label
_atom_site_type_symbol
_atom_site_fract_x
_atom_site_fract_y
_atom_site_fract_z
_atom_site_occupancy
Al1 Al 0.5027 0.0010 0.0001 1
Al2 Al 0.9984 0.4963 0.0004 1
Al3 Al 0.5002 0.9997 0.4994 1
Al4 Al 0.9996 0.4996 0.4999 1
O1 O 0.7706 0.7700 0.0347 1
O2 O 0.4376 0.9946 0.2487 1
O3 O 0.0649 0.4922 0.2496 1
O4 O 0.7237 0.2767 0.4620 1
O5 O 0.7749 0.7756 0.4663 1
O6 O 0.2237 0.2230 0.5349 1
O7 O 0.2748 0.7245 0.5374 1
O8 O 0.5687 0.0133 0.7510 1
O9 O 0.9324 0.5031 0.7510 1
O10 O 0.2717 0.7278 0.9633 1
O11 O 0.2320 0.2290 0.9672 1
Sm1 Sm 0.5084 0.5191 0.2459 1
Sm2 Sm 0.9939 0.0240 0.2501 1
Sm3 Sm 0.4940 0.4751 0.7493 1
Sm4 Sm 0.0068 0.9755 0.7521 1
```

Summary:
DFT total energy = -7.765 eV per atom
symmetry = P1

***

[3]
## LiSmCdTe3 (PBE)

Data for LiSmCdTe3 after structural relaxation.

Geometry as CIF:
```
data_LiSmCdTe3
_symmetry_space_group_name_H-M 'P 1'
_symmetry_Int_Tables_number 1
_cell_length_a 7.5451
_cell_length_b 7.5451
_cell_length_c 11.7499
_cell_angle_alpha 90.00
_cell_angle_beta 90.00
_cell_angle_gamma 33.57
loop_
_symmetry_equiv_pos_as_xyz
'x,y,z'
loop_
_atom_site_label
_atom_site_type_symbol
_atom_site_fract_x
_atom_site_fract_y
_atom_site_fract_z
_atom_site_occupancy
Cd1 Cd 0.4788 0.4788 0.2500 1
Cd2 Cd 0.5212 0.5212 0.7500 1
Li1 Li 0.7862 0.7862 0.2500 1
Li2 Li 0.2138 0.2138 0.7500 1
Sm1 Sm 0.0000 0.0000 0.0000 1
Sm2 Sm 0.0000 0.0000 0.5000 1
Te1 Te 0.3527 0.3527 0.0674 1
Te2 Te 0.1047 0.1047 0.2500 1
Te3 Te 0.3527 0.3527 0.4326 1
Te4 Te 0.6473 0.6473 0.5674 1
Te5 Te 0.8953 0.8953 0.7500 1
Te6 Te 0.6473 0.6473 0.9326 1
```

Summary:
DFT total energy = -3.743 eV per atom
ΔE to the lowest computed polymorph = 45 meV per atom
symmetry = Cmcm

***

[4]
## YSiNiPt (PBE)

Data for YSiNiPt after structural relaxation.

Geometry as CIF:
```
data_YSiNiPt
_symmetry_space_group_name_H-M 'P 1'
_symmetry_Int_Tables_number 1
_cell_length_a 4.5433
_cell_length_b 4.5433
_cell_length_c 4.5433
_cell_angle_alpha 60.00
_cell_angle_beta 60.00
_cell_angle_gamma 60.00
loop_
_symmetry_equiv_pos_as_xyz
'x,y,z'
loop_
_atom_site_label
_atom_site_type_symbol
_atom_site_fract_x
_atom_site_fract_y
_atom_site_fract_z
_atom_site_occupancy
Ni1 Ni 0.7500 0.7500 0.7500 1
Pt1 Pt 0.2500 0.2500 0.2500 1
Si1 Si 0.0000 0.0000 0.0000 1
Y1 Y 0.5000 0.5000 0.5000 1
```

Summary:
DFT total energy = -6.443 eV per atom
symmetry = F-43m

***

[5]
## CsTcB4 (PBE)

Data for CsTcB4 after structural relaxation.

Geometry as CIF:
```
data_CsTcB4
_symmetry_space_group_name_H-M 'P 1'
_symmetry_Int_Tables_number 1
_cell_length_a 3.0977
_cell_length_b 3.0977
_cell_length_c 8.8390
_cell_angle_alpha 90.00
_cell_angle_beta 90.00
_cell_angle_gamma 120.00
loop_
_symmetry_equiv_pos_as_xyz
'x,y,z'
loop_
_atom_site_label
_atom_site_type_symbol
_atom_site_fract_x
_atom_site_fract_y
_atom_site_fract_z
_atom_site_occupancy
B1 B 0.6667 0.3333 0.1835 1
B2 B 0.3333 0.6667 0.1835 1
B3 B 0.6667 0.3333 0.8165 1
B4 B 0.3333 0.6667 0.8165 1
Cs1 Cs 0.0000 0.0000 0.5000 1
Tc1 Tc 0.0000 0.0000 0.0000 1
```

Summary:
DFT total energy = -6.009 eV per atom
ΔE to the lowest computed polymorph = 0 meV per atom
symmetry = P6/mmm

***

[6]
## Be2Cd2O5 (PBE)

Data for Be2Cd2O5 after structural relaxation.

Geometry as CIF:
```
data_Be2Cd2O5
_symmetry_space_group_name_H-M 'P 1'
_symmetry_Int_Tables_number 1
_cell_length_a 10.2014
_cell_length_b 3.1009
_cell_length_c 3.1009
_cell_angle_alpha 90.00
_cell_angle_beta 90.00
_cell_angle_gamma 90.00
loop_
_symmetry_equiv_pos_as_xyz
'x,y,z'
loop_
_atom_site_label
_atom_site_type_symbol
_atom_site_fract_x
_atom_site_fract_y
_atom_site_fract_z
_atom_site_occupancy
Be1 Be 0.0000 0.0000 0.0000 1
Be2 Be 0.5000 0.0000 0.0000 1
Cd1 Cd 0.2745 0.5000 0.5000 1
Cd2 Cd 0.7255 0.5000 0.5000 1
O1 O 0.1150 0.5000 0.0000 1
O2 O 0.8850 0.5000 0.0000 1
O3 O 0.1150 0.0000 0.5000 1
O4 O 0.8850 0.0000 0.5000 1
O5 O 0.5000 0.5000 0.5000 1
```

Summary:
DFT total energy = -3.978 eV per atom
ΔE to the lowest computed polymorph = 1054 meV per atom
symmetry = P4/mmm

***

[7]
## Gd3Mg3CdHg2 (PBE)

Data for Gd3Mg3CdHg2 after structural relaxation.

Geometry as CIF:
```
data_Gd3Mg3CdHg2
_symmetry_space_group_name_H-M 'P 1'
_symmetry_Int_Tables_number 1
_cell_length_a 7.4738
_cell_length_b 7.4738
_cell_length_c 4.6764
_cell_angle_alpha 90.00
_cell_angle_beta 90.00
_cell_angle_gamma 120.00
loop_
_symmetry_equiv_pos_as_xyz
'x,y,z'
loop_
_atom_site_label
_atom_site_type_symbol
_atom_site_fract_x
_atom_site_fract_y
_atom_site_fract_z
_atom_site_occupancy
Cd1 Cd 0.0000 0.0000 0.0000 1
Gd1 Gd 0.4240 0.0000 0.0000 1
Gd2 Gd 0.0000 0.4240 0.0000 1
Gd3 Gd 0.5760 0.5760 0.0000 1
Hg1 Hg 0.6667 0.3333 0.5000 1
Hg2 Hg 0.3333 0.6667 0.5000 1
Mg1 Mg 0.7572 0.0000 0.5000 1
Mg2 Mg 0.2428 0.2428 0.5000 1
Mg3 Mg 0.0000 0.7572 0.5000 1
```

Summary:
DFT total energy = -2.592 eV per atom
symmetry = P-62m

***

[8]
## LuScB2 (PBE)

Data for LuScB2 after structural relaxation.

Geometry as CIF:
```
data_LuScB2
_symmetry_space_group_name_H-M 'P 1'
_symmetry_Int_Tables_number 1
_cell_length_a 4.3391
_cell_length_b 4.3391
_cell_length_c 4.3391
_cell_angle_alpha 60.00
_cell_angle_beta 60.00
_cell_angle_gamma 60.00
loop_
_symmetry_equiv_pos_as_xyz
'x,y,z'
loop_
_atom_site_label
_atom_site_type_symbol
_atom_site_fract_x
_atom_site_fract_y
_atom_site_fract_z
_atom_site_occupancy
B1 B 0.0000 0.0000 0.0000 1
B2 B 0.2500 0.2500 0.2500 1
Lu1 Lu 0.5000 0.5000 0.5000 1
Sc1 Sc 0.7500 0.7500 0.7500 1
```

Summary:
DFT total energy = -4.835 eV per atom
symmetry = F-43m